[1]
Material: Tm5Cu2Pb
Method: DFT, PBE
State: relaxed

Cell lengths 8.502, 8.502, 8.502 Å; angles 125.50, 125.50, 80.70 degrees
Fractional positions:
Cu  0.630  0.870  0.500
Tm  0.000  0.000  0.000
Cu  0.130  0.630  0.760
Tm  0.985  0.796  0.500
Tm  0.704  0.515  0.500
Pb  0.250  0.250  0.000
Cu  0.870  0.370  0.240
Tm  0.796  0.296  0.812
Pb  0.750  0.750  0.000
Tm  0.500  0.500  0.000
Tm  0.515  0.015  0.812
Tm  0.204  0.704  0.188
Tm  0.296  0.485  0.500
Tm  0.015  0.204  0.500
Cu  0.370  0.130  0.500
Tm  0.485  0.985  0.188

Properties
- energy (hartree per atom) = -0.1644
- SG = I4/mcm (140)

---

[2]
Material: BaHg2Se3
Method: DFT, PBE
State: relaxed

Cell lengths 7.383, 7.383, 11.268 Å; angles 90.00, 90.00, 34.01 degrees
Fractional positions:
Se  0.088  0.088  0.250
Hg  0.473  0.473  0.250
Hg  0.000  0.000  0.000
Hg  0.527  0.527  0.750
Se  0.635  0.635  0.554
Ba  0.761  0.761  0.250
Se  0.912  0.912  0.750
Se  0.635  0.635  0.946
Se  0.365  0.365  0.054
Hg  0.000  0.000  0.500
Ba  0.239  0.239  0.750
Se  0.365  0.365  0.446

Properties
- energy (hartree per atom) = -0.1041
- SG = Cmcm (63)

---

[3]
Material: Sr3Zn2Au4
Method: DFT, PBE
State: relaxed

Cell lengths 6.126, 6.126, 9.071 Å; angles 108.51, 108.51, 45.16 degrees
Fractional positions:
Sr  0.638  0.638  0.690
Au  0.095  0.095  0.415
Zn  0.336  0.336  0.665
Au  0.905  0.905  0.585
Sr  0.362  0.362  0.310
Sr  0.000  0.000  0.000
Zn  0.664  0.664  0.335
Au  0.718  0.718  0.073
Au  0.282  0.282  0.927

Properties
- energy (hartree per atom) = -0.1085
- SG = C2/m (12)

---

[4]
Material: SrTePdO
Method: DFT, PBE
State: relaxed

Cell lengths 7.992, 11.107, 8.851 Å; angles 90.00, 90.00, 90.00 degrees
Fractional positions:
O  0.251  0.228  0.781
Sr  0.249  0.645  0.512
O  0.249  0.772  0.281
Sr  0.249  0.855  0.012
O  0.751  0.228  0.719
Te  0.001  0.495  0.750
Pd  0.499  0.740  0.250
Sr  0.251  0.145  0.512
Sr  0.749  0.645  0.988
O  0.749  0.728  0.719
Te  0.499  0.995  0.750
O  0.749  0.772  0.219
O  0.251  0.272  0.281
Sr  0.751  0.355  0.488
Sr  0.749  0.855  0.488
Pd  0.999  0.760  0.750
Sr  0.251  0.355  0.012
Te  0.001  0.005  0.250
Te  0.499  0.505  0.250
Pd  0.001  0.260  0.750
O  0.249  0.728  0.781
Te  0.999  0.995  0.750
Pd  0.501  0.240  0.250
Te  0.999  0.505  0.250
Te  0.501  0.495  0.750
O  0.751  0.272  0.219
Pd  0.001  0.240  0.250
Pd  0.501  0.260  0.750
Pd  0.499  0.760  0.750
Pd  0.999  0.740  0.250
Sr  0.751  0.145  0.988
Te  0.501  0.005  0.250

Properties
- polymorph energy (0 for the lowest one) (meV per atom) = 272.4
- SG = Pbca (61)

---

[5]
Material: Li2TmPd2
Method: DFT, PBE
State: relaxed

Cell lengths 3.364, 3.390, 7.885 Å; angles 102.33, 102.24, 90.05 degrees
Fractional positions:
Li  0.797  0.298  0.595
Pd  0.391  0.891  0.781
Tm  0.000  0.500  0.000
Li  0.203  0.702  0.405
Pd  0.609  0.109  0.219

Properties
- energy (hartree per atom) = -0.1602
- SG = P-1 (2)

---

[6]
Material: KIn2SnAu
Method: DFT, PBE
State: relaxed

Cell lengths 7.038, 7.038, 7.038 Å; angles 139.52, 139.52, 58.58 degrees
Fractional positions:
Au  0.620  0.620  0.000
In  0.242  0.742  0.500
In  0.742  0.242  0.500
K  0.002  0.002  0.000
Sn  0.395  0.395  0.000

Properties
- energy (hartree per atom) = -0.1114
- SG = I4mm (107)

---

[7]
Material: CsSmTm
Method: DFT, PBE
State: relaxed

Cell lengths 5.538, 5.538, 5.538 Å; angles 60.00, 60.00, 60.00 degrees
Fractional positions:
Sm  0.750  0.750  0.750
Tm  0.250  0.250  0.250
Cs  0.000  0.000  0.000

Properties
- polymorph energy (0 for the lowest one) (meV per atom) = 22.3
- SG = F-43m (216)

---

[8]
Material: La2Al2W
Method: DFT, PBE
State: relaxed

Cell lengths 9.395, 6.272, 10.775 Å; angles 60.20, 35.40, 84.40 degrees
Fractional positions:
La  0.353  0.008  0.010
La  0.621  0.240  0.242
Al  0.856  0.017  0.506
Al  0.744  0.629  0.394
Al  0.629  0.744  0.233
Al  0.017  0.856  0.621
La  0.240  0.621  0.897
La  0.008  0.353  0.629
W  0.436  0.436  0.064
W  0.186  0.186  0.814

Properties
- energy (hartree per atom) = -0.2158
- SG = Fdd2 (43)

---

[9]
Material: YMgAu2
Method: DFT, PBE
State: relaxed

Cell lengths 4.879, 6.918, 14.659 Å; angles 90.00, 90.00, 90.00 degrees
Fractional positions:
Au  0.000  0.750  0.833
Au  0.500  0.750  0.000
Au  0.500  0.250  0.333
Y  0.000  0.500  0.000
Mg  0.500  0.500  0.167
Au  0.000  0.250  0.833
Mg  0.500  0.500  0.833
Au  0.500  0.750  0.667
Y  0.000  0.500  0.667
Mg  0.000  0.000  0.333
Au  0.500  0.250  0.000
Y  0.000  0.500  0.333
Y  0.500  0.000  0.833
Y  0.500  0.000  0.500
Y  0.500  0.000  0.167
Mg  0.000  0.000  0.667
Mg  0.000  0.000  0.000
Mg  0.500  0.500  0.500
Au  0.000  0.750  0.167
Au  0.000  0.250  0.167
Au  0.500  0.750  0.333
Au  0.500  0.250  0.667
Au  0.000  0.250  0.500
Au  0.000  0.750  0.500

Properties
- energy (hartree per atom) = -0.1624
- SG = I4/mmm (139)

---

[10]
Material: SmY2Ga2Ni4
Method: DFT, PBE
State: relaxed

Cell lengths 5.312, 5.312, 8.162 Å; angles 97.56, 97.56, 45.71 degrees
Fractional positions:
Ni  0.267  0.267  0.915
Y  0.625  0.625  0.381
Ni  0.733  0.733  0.085
Ni  0.082  0.082  0.633
Ga  0.678  0.678  0.781
Y  0.375  0.375  0.619
Ni  0.918  0.918  0.367
Sm  0.000  0.000  0.000
Ga  0.322  0.322  0.219

Properties
- energy (hartree per atom) = -0.2083
- SG = C2/m (12)

---

[11]
Material: LuCoAgPb
Method: DFT, PBE
State: relaxed

Cell lengths 4.778, 4.778, 4.778 Å; angles 60.00, 60.00, 60.00 degrees
Fractional positions:
Ag  0.250  0.250  0.250
Lu  0.500  0.500  0.500
Pb  0.000  0.000  0.000
Co  0.750  0.750  0.750

Properties
- polymorph energy (0 for the lowest one) (meV per atom) = 0.0
- SG = F-43m (216)

---

[12]
Material: NdTm2Sb3
Method: DFT, PBE
State: relaxed

Cell lengths 4.397, 4.397, 10.760 Å; angles 90.00, 90.00, 120.00 degrees
Fractional positions:
Sb  0.333  0.667  0.323
Sb  0.000  0.000  0.000
Nd  0.000  0.000  0.500
Tm  0.333  0.667  0.838
Tm  0.667  0.333  0.162
Sb  0.667  0.333  0.677

Properties
- energy (hartree per atom) = -0.2003
- SG = P-3m1 (164)